A relaxed structure of LaCoB5O10. Source: Alexandria via LeMat-Bulk, functional PBE with a Hubbard U.

Unit cell a=8.886 b=7.685 c=12.780 alpha=90.00 beta=131.59 gamma=90.00
Positions (direct):
La: 0.054 0.186 0.236
La: 0.054 0.314 0.736
La: 0.946 0.686 0.264
La: 0.946 0.814 0.764
Co: 0.477 0.590 0.875
Co: 0.477 0.910 0.375
Co: 0.523 0.090 0.625
Co: 0.523 0.410 0.125
B: 0.096 0.673 0.609
B: 0.096 0.827 0.109
B: 0.158 0.594 0.006
B: 0.158 0.906 0.506
B: 0.268 0.035 0.052
B: 0.268 0.465 0.552
B: 0.357 0.582 0.266
B: 0.357 0.918 0.766
B: 0.490 0.183 0.916
B: 0.490 0.317 0.416
B: 0.510 0.683 0.584
B: 0.510 0.817 0.084
B: 0.643 0.082 0.234
B: 0.643 0.418 0.734
B: 0.732 0.535 0.448
B: 0.732 0.965 0.948
B: 0.842 0.094 0.494
B: 0.842 0.406 0.994
B: 0.904 0.173 0.891
B: 0.904 0.327 0.391
O: 0.032 0.721 0.991
O: 0.032 0.779 0.491
O: 0.083 0.109 0.915
O: 0.083 0.391 0.415
O: 0.118 0.540 0.889
O: 0.118 0.960 0.389
O: 0.218 0.720 0.240
O: 0.218 0.780 0.740
O: 0.228 0.522 0.643
O: 0.228 0.978 0.143
O: 0.317 0.624 0.509
O: 0.317 0.876 0.009
O: 0.321 0.535 0.137
O: 0.321 0.965 0.637
O: 0.328 0.081 0.813
O: 0.328 0.419 0.313
O: 0.439 0.153 0.129
O: 0.439 0.347 0.629
O: 0.440 0.155 0.434
O: 0.440 0.345 0.934
O: 0.560 0.655 0.066
O: 0.560 0.845 0.566
O: 0.561 0.653 0.371
O: 0.561 0.847 0.871
O: 0.672 0.581 0.687
O: 0.672 0.919 0.187
O: 0.679 0.035 0.363
O: 0.679 0.465 0.863
O: 0.683 0.124 0.991
O: 0.683 0.376 0.491
O: 0.772 0.022 0.857
O: 0.772 0.478 0.357
O: 0.782 0.220 0.260
O: 0.782 0.280 0.760
O: 0.882 0.040 0.611
O: 0.882 0.460 0.111
O: 0.917 0.609 0.585
O: 0.917 0.891 0.085
O: 0.968 0.221 0.509
O: 0.968 0.279 0.009

Values from the calculation:
V   9.60 A^3/atom
Total energy   -0.5849 Ry/atom
Symmetry   P2_1/c